1.
# Ac2Dy13

Crystalline Ac2Dy13 at its relaxed geometry (PBE, Alexandria).

POSCAR file:
```
Ac2Dy13
1.0
4.737 2.735 7.417
-4.737 2.735 7.417
0.000 -5.470 7.417
Ac Dy
2 13
Direct
0.232 0.232 0.232 Ac
0.768 0.768 0.768 Ac
0.023 0.023 0.675 Dy
0.023 0.675 0.023 Dy
0.253 0.253 0.601 Dy
0.253 0.601 0.253 Dy
0.325 0.977 0.977 Dy
0.399 0.747 0.747 Dy
0.500 0.500 0.500 Dy
0.601 0.253 0.253 Dy
0.675 0.023 0.023 Dy
0.747 0.399 0.747 Dy
0.747 0.747 0.399 Dy
0.977 0.325 0.977 Dy
0.977 0.977 0.325 Dy
```

Computed properties:
- Crystal system: trigonal
- Size of the total moment: 0.00 μB per formula unit
- Calculated formation energy: 58 kJ per mole of atoms
- SG: R-3m, No. 166


2.
# PmHoCdGa

Crystalline PmHoCdGa at its relaxed geometry (PBE, Alexandria).

POSCAR file:
```
PmHoCdGa
1.0
0.000 3.701 3.701
3.701 0.000 3.701
3.701 3.701 0.000
Pm Ho Cd Ga
1 1 1 1
Direct
0.000 0.000 0.000 Pm
0.500 0.500 0.500 Ho
0.750 0.750 0.750 Cd
0.250 0.250 0.250 Ga
```

Computed properties:
- Crystal system: cubic
- Size of the total moment: 0.00 μB per formula unit
- Calculated formation energy: -42 kJ per mole of atoms
- SG: F-43m, No. 216


3.
# SiTe2

Crystalline SiTe2 at its relaxed geometry (PBE, Alexandria).

POSCAR file:
```
SiTe2
1.0
6.697 -1.841 0.000
6.697 1.841 0.000
-0.054 0.000 8.428
Si Te
2 4
Direct
0.000 0.000 0.000 Si
0.728 0.728 0.260 Si
0.283 0.283 0.446 Te
0.533 0.533 0.788 Te
0.535 0.535 0.259 Te
0.803 0.803 0.984 Te
```

Computed properties:
- Formation energy (no corrections): 1.64 kcal/mol of atoms
- Crystal system: monoclinic
- Size of the total moment: 0.00 μB per formula unit
- SG: Cm, No. 8


4.
# PPb2W

Crystalline PPb2W at its relaxed geometry (PBE, Alexandria).

POSCAR file:
```
PPb2W
1.0
-1.707 1.709 8.389
1.707 -1.709 8.389
1.707 1.709 -8.389
P Pb W
1 2 1
Direct
0.000 0.000 0.000 P
0.159 0.659 0.500 Pb
0.841 0.341 0.500 Pb
0.500 0.500 0.000 W
```

Computed properties:
- Crystal system: orthorhombic
- Size of the total moment: 0.00 μB per formula unit
- Calculated formation energy: 34 kJ per mole of atoms
- SG: Immm, No. 71


5.
# AlAs

Crystalline AlAs at its relaxed geometry (PBE, Alexandria).

POSCAR file:
```
AlAs
1.0
11.337 0.000 0.000
0.000 3.949 0.000
0.000 0.000 6.981
Al As
6 6
Direct
0.000 0.071 0.000 Al
0.209 0.338 0.220 Al
0.291 0.662 0.720 Al
0.500 0.929 0.500 Al
0.709 0.662 0.720 Al
0.791 0.338 0.220 Al
0.000 0.567 0.233 As
0.202 0.160 0.874 As
0.298 0.840 0.374 As
0.500 0.433 0.733 As
0.702 0.840 0.374 As
0.798 0.160 0.874 As
```

Computed properties:
- Crystal system: orthorhombic
- Size of the total moment: 0.00 μB per formula unit
- Calculated formation energy: -25 kJ per mole of atoms
- SG: Pmn2_1, No. 31


6.
# Rb2NbF7

Crystalline Rb2NbF7 at its relaxed geometry (PBE, Alexandria).

POSCAR file:
```
Rb2NbF7
1.0
7.134 -3.611 0.000
7.134 3.611 0.000
-6.390 0.000 7.650
Rb Nb F
4 2 14
Direct
0.111 0.257 0.273 Rb
0.257 0.111 0.773 Rb
0.743 0.889 0.227 Rb
0.889 0.743 0.727 Rb
0.387 0.613 0.250 Nb
0.613 0.387 0.750 Nb
0.104 0.896 0.250 F
0.182 0.545 0.249 F
0.242 0.565 0.998 F
0.282 0.496 0.644 F
0.435 0.758 0.502 F
0.455 0.818 0.251 F
0.496 0.282 0.144 F
0.504 0.718 0.856 F
0.545 0.182 0.749 F
0.565 0.242 0.498 F
0.718 0.504 0.356 F
0.758 0.435 0.002 F
0.818 0.455 0.751 F
0.896 0.104 0.750 F
```

Computed properties:
- Formation energy (no corrections): -70.57 kcal/mol of atoms
- Crystal system: monoclinic
- Size of the total moment: 0.00 μB per formula unit
- SG: C2/c, No. 15


7.
# CrInMo

Crystalline CrInMo at its relaxed geometry (PBE, Alexandria).

POSCAR file:
```
CrInMo
1.0
3.023 0.000 0.000
-1.511 2.618 0.000
0.000 0.000 6.516
Cr In Mo
1 1 1
Direct
0.000 0.000 0.000 Cr
0.667 0.333 0.360 In
0.333 0.667 0.745 Mo
```

Computed properties:
- Crystal system: trigonal
- Size of the total moment: 0.00 μB per formula unit
- Calculated formation energy: 40 kJ per mole of atoms
- SG: P3m1, No. 156


8.
# TaNiPd2

Crystalline TaNiPd2 at its relaxed geometry (PBE, Alexandria).

POSCAR file:
```
TaNiPd2
1.0
4.465 0.000 0.000
0.000 5.411 0.000
0.000 0.000 4.851
Ta Ni Pd
2 2 4
Direct
0.250 0.250 0.145 Ta
0.750 0.750 0.855 Ta
0.250 0.750 0.158 Ni
0.750 0.250 0.842 Ni
0.250 0.000 0.667 Pd
0.250 0.500 0.667 Pd
0.750 0.000 0.333 Pd
0.750 0.500 0.333 Pd
```

Computed properties:
- Crystal system: orthorhombic
- Size of the total moment: 0.00 μB per formula unit
- Calculated formation energy: -39 kJ per mole of atoms
- SG: Pmmn, No. 59


9.
# Cu2IrBr

Crystalline Cu2IrBr at its relaxed geometry (PBE, Alexandria).

POSCAR file:
```
Cu2IrBr
1.0
3.043 0.000 0.000
0.000 4.390 0.000
0.000 0.000 4.512
Cu Ir Br
2 1 1
Direct
0.000 0.000 0.000 Cu
0.500 0.000 0.500 Cu
0.000 0.500 0.500 Ir
0.500 0.500 0.000 Br
```

Computed properties:
- Formation energy (no corrections): 15.92 kcal/mol of atoms
- Crystal system: orthorhombic
- Size of the total moment: 0.00 μB per formula unit
- SG: Pmmm, No. 47


10.
# Y4InRu

Crystalline Y4InRu at its relaxed geometry (PBE, Alexandria).

POSCAR file:
```
Y4InRu
1.0
4.384 -2.525 0.000
4.384 2.525 0.000
-2.915 0.000 8.043
Y In Ru
4 1 1
Direct
0.114 0.114 0.340 Y
0.365 0.365 0.095 Y
0.635 0.635 0.905 Y
0.886 0.886 0.660 Y
0.500 0.500 0.500 In
0.000 0.000 0.000 Ru
```

Computed properties:
- Crystal system: monoclinic
- Size of the total moment: 0.00 μB per formula unit
- Calculated formation energy: -20 kJ per mole of atoms
- SG: C2/m, No. 12


11.
# AlCoTcNi

Crystalline AlCoTcNi at its relaxed geometry (PBE, Alexandria).

POSCAR file:
```
AlCoTcNi
1.0
0.000 2.938 2.938
2.938 0.000 2.938
2.938 2.938 0.000
Al Co Tc Ni
1 1 1 1
Direct
0.000 0.000 0.000 Al
0.250 0.250 0.250 Co
0.500 0.500 0.500 Tc
0.750 0.750 0.750 Ni
```

Computed properties:
- Crystal system: cubic
- Size of the total moment: 2.99 μB per formula unit
- Calculated formation energy: -13 kJ per mole of atoms
- SG: F-43m, No. 216


12.
# SrGeSe2N

Crystalline SrGeSe2N at its relaxed geometry (PBE, Alexandria).

POSCAR file:
```
SrGeSe2N
1.0
5.274 0.000 0.000
0.000 5.274 0.000
0.000 0.000 3.844
Sr Ge Se N
1 1 2 1
Direct
0.000 0.000 0.000 Sr
0.500 0.500 0.500 Ge
0.000 0.500 0.500 Se
0.500 0.000 0.500 Se
0.500 0.500 0.000 N
```

Computed properties:
- Formation energy (no corrections): -5.91 kcal/mol of atoms
- Crystal system: tetragonal
- Size of the total moment: 1.11 μB per formula unit
- SG: P4/mmm, No. 123


13.
# Na2Sr3HfO6

Crystalline Na2Sr3HfO6 at its relaxed geometry (PBE, Alexandria).

POSCAR file:
```
Na2Sr3HfO6
1.0
3.074 -5.274 0.000
3.074 5.274 0.000
-2.060 0.000 5.576
Na Sr Hf O
2 3 1 6
Direct
0.165 0.835 0.000 Na
0.835 0.165 0.000 Na
0.000 0.000 0.500 Sr
0.328 0.672 0.500 Sr
0.672 0.328 0.500 Sr
0.500 0.500 0.000 Hf
0.137 0.425 0.772 O
0.292 0.292 0.227 O
0.425 0.137 0.772 O
0.575 0.863 0.228 O
0.708 0.708 0.773 O
0.863 0.575 0.228 O
```

Computed properties:
- Formation energy (no corrections): -60.20 kcal/mol of atoms
- Crystal system: monoclinic
- Size of the total moment: 0.00 μB per formula unit
- SG: C2/m, No. 12


14.
# V4CrPt

Crystalline V4CrPt at its relaxed geometry (PBE, Alexandria).

POSCAR file:
```
V4CrPt
1.0
4.240 0.000 0.000
0.000 3.829 0.000
-0.880 0.000 5.846
V Cr Pt
4 1 1
Direct
0.015 0.000 0.283 V
0.454 0.500 0.728 V
0.546 0.500 0.272 V
0.985 0.000 0.717 V
0.500 0.000 0.500 Cr
0.000 0.500 0.000 Pt
```

Computed properties:
- Crystal system: monoclinic
- Size of the total moment: 0.00 μB per formula unit
- Calculated formation energy: 31 kJ per mole of atoms
- SG: P2/m, No. 10


15.
# GdErMgIn

Crystalline GdErMgIn at its relaxed geometry (PBE, Alexandria).

POSCAR file:
```
GdErMgIn
1.0
0.000 3.757 3.757
3.757 0.000 3.757
3.757 3.757 0.000
Gd Er Mg In
1 1 1 1
Direct
0.000 0.000 0.000 Gd
0.500 0.500 0.500 Er
0.250 0.250 0.250 Mg
0.750 0.750 0.750 In
```

Computed properties:
- Crystal system: cubic
- Size of the total moment: 7.48 μB per formula unit
- Calculated formation energy: -31 kJ per mole of atoms
- SG: F-43m, No. 216


16.
# BSI2O

Crystalline BSI2O at its relaxed geometry (PBE, Alexandria).

POSCAR file:
```
BSI2O
1.0
5.658 0.000 0.000
0.000 5.658 0.000
0.000 0.000 3.601
B S I O
1 1 2 1
Direct
0.000 0.000 0.000 B
0.500 0.500 0.500 S
0.000 0.500 0.500 I
0.500 0.000 0.500 I
0.500 0.500 0.000 O
```

Computed properties:
- Formation energy (no corrections): 22.89 kcal/mol of atoms
- Crystal system: tetragonal
- Size of the total moment: 0.00 μB per formula unit
- SG: P4/mmm, No. 123


17.
# ScPAuCl2

Crystalline ScPAuCl2 at its relaxed geometry (PBE, Alexandria).

POSCAR file:
```
ScPAuCl2
1.0
4.731 0.000 0.000
0.000 4.731 0.000
0.000 0.000 5.596
Sc P Au Cl
1 1 1 2
Direct
0.000 0.000 0.000 Sc
0.000 0.000 0.500 P
0.500 0.500 0.500 Au
0.000 0.500 0.000 Cl
0.500 0.000 0.000 Cl
```

Computed properties:
- Formation energy (no corrections): -10.85 kcal/mol of atoms
- Crystal system: tetragonal
- Size of the total moment: 0.00 μB per formula unit
- SG: P4/mmm, No. 123


18.
# ScZnCo

Crystalline ScZnCo at its relaxed geometry (PBE, Alexandria).

POSCAR file:
```
ScZnCo
1.0
3.159 0.000 0.000
-1.580 2.736 0.000
0.000 0.000 5.712
Sc Zn Co
1 1 1
Direct
0.000 0.000 0.000 Sc
0.667 0.333 0.403 Zn
0.333 0.667 0.695 Co
```

Computed properties:
- Crystal system: trigonal
- Size of the total moment: 0.21 μB per formula unit
- Calculated formation energy: 5 kJ per mole of atoms
- SG: P3m1, No. 156


19.
# Ho4TmCo2

Crystalline Ho4TmCo2 at its relaxed geometry (PBE, Alexandria).

POSCAR file:
```
Ho4TmCo2
1.0
7.609 0.000 0.000
0.000 6.274 0.000
-2.977 0.000 7.074
Ho Tm Co
8 2 4
Direct
0.124 0.250 0.479 Ho
0.174 0.750 0.251 Ho
0.260 0.502 0.913 Ho
0.260 0.998 0.913 Ho
0.740 0.002 0.087 Ho
0.740 0.498 0.087 Ho
0.826 0.250 0.749 Ho
0.876 0.750 0.521 Ho
0.472 0.250 0.336 Tm
0.528 0.750 0.664 Tm
0.092 0.250 0.127 Co
0.487 0.250 0.764 Co
0.513 0.750 0.236 Co
0.908 0.750 0.873 Co
```

Computed properties:
- Crystal system: monoclinic
- Size of the total moment: 0.00 μB per formula unit
- Calculated formation energy: -7 kJ per mole of atoms
- SG: P2_1/m, No. 11


20.
# TaMn4Cr

Crystalline TaMn4Cr at its relaxed geometry (PBE, Alexandria).

POSCAR file:
```
TaMn4Cr
1.0
0.000 3.337 3.337
3.337 0.000 3.337
3.337 3.337 0.000
Ta Mn Cr
1 4 1
Direct
0.000 0.000 0.000 Ta
0.125 0.625 0.625 Mn
0.625 0.125 0.625 Mn
0.625 0.625 0.125 Mn
0.625 0.625 0.625 Mn
0.250 0.250 0.250 Cr
```

Computed properties:
- Crystal system: cubic
- Size of the total moment: 1.24 μB per formula unit
- Calculated formation energy: -3 kJ per mole of atoms
- SG: F-43m, No. 216